# 1
GGA-PBE Zr5Al, relaxed; symmetry = No. 191; E_tot = -0.5314 Ry per atom
1.0
-1.981 5.297 -1.471
0.835 -4.056 -4.123
-4.629 -1.565 0.601
Zr Al
5 1
direct
0.333 0.667 0.000 Zr
0.667 0.333 0.000 Zr
0.500 0.000 0.500 Zr
0.500 0.500 0.500 Zr
0.000 0.500 0.500 Zr
0.000 0.000 0.000 Al


# 2
GGA-PBE ErCuTe3Pb, relaxed; symmetry = No. 11; relative energy among the computed polymorphs = 0.41 kcal/mol of atoms; E_tot = -0.3131 Ry per atom
1.0
-4.843 5.818 -3.482
-1.860 0.714 3.779
8.697 5.046 3.328
Te Cu Pb Er
6 2 2 2
direct
0.074 0.250 0.364 Te
0.456 0.750 0.668 Te
0.926 0.750 0.636 Te
0.756 0.750 0.040 Te
0.544 0.250 0.332 Te
0.244 0.250 0.960 Te
0.423 0.750 0.912 Cu
0.577 0.250 0.088 Cu
0.240 0.750 0.200 Pb
0.760 0.250 0.800 Pb
0.799 0.750 0.331 Er
0.201 0.250 0.669 Er


# 3
GGA-PBE Te3WSeI, relaxed; symmetry = No. 2; relative energy among the computed polymorphs = 0.00 kcal/mol of atoms; E_tot = -0.3489 Ry per atom
1.0
6.766 0.000 0.000
-1.296 8.461 0.000
-2.089 -4.100 7.284
I Se Te W
2 2 6 2
direct
0.256 0.395 0.583 I
0.744 0.605 0.417 I
0.039 0.897 0.187 Se
0.961 0.103 0.813 Se
0.472 0.775 0.051 Te
0.618 0.134 0.299 Te
0.382 0.866 0.701 Te
0.116 0.315 0.183 Te
0.528 0.225 0.949 Te
0.884 0.685 0.817 Te
0.784 0.000 0.000 W
0.216 0.000 0.000 W


# 4
GGA-PBE Hf4GeBi, relaxed; symmetry = No. 97; E_tot = -0.6139 Ry per atom
1.0
-3.389 3.389 2.802
3.389 -3.389 2.802
3.389 3.389 -2.802
Hf Bi Ge
4 1 1
direct
0.099 0.599 0.197 Hf
0.599 0.401 0.500 Hf
0.401 0.901 0.803 Hf
0.901 0.099 0.500 Hf
0.500 0.500 0.000 Bi
0.000 0.000 0.000 Ge


# 5
GGA-PBE BaHoCuSi3, relaxed; symmetry = No. 69; E_tot = -0.3586 Ry per atom
1.0
3.676 -6.292 4.403
-1.955 -7.608 2.788
2.520 -4.124 -3.562
Ba Si Ho Cu
2 6 2 2
direct
0.750 0.750 0.750 Ba
0.250 0.250 0.250 Ba
0.336 0.823 0.664 Si
0.177 0.664 0.823 Si
0.823 0.336 0.177 Si
0.664 0.177 0.336 Si
0.158 0.158 0.842 Si
0.842 0.842 0.158 Si
0.237 0.763 0.237 Ho
0.763 0.237 0.763 Ho
0.338 0.338 0.662 Cu
0.662 0.662 0.338 Cu


# 6
GGA-PBE NaUSi, relaxed; symmetry = No. 216; E_tot = -0.4015 Ry per atom
1.0
0.000 3.389 3.389
3.389 0.000 3.389
3.389 3.389 0.000
Si Na U
1 1 1
direct
0.000 0.000 0.000 Si
0.250 0.250 0.250 Na
0.750 0.750 0.750 U


# 7
GGA-PBE Cd2BW, relaxed; symmetry = No. 216; E_tot = -0.2926 Ry per atom
1.0
0.000 3.185 3.185
3.185 0.000 3.185
3.185 3.185 0.000
W Cd B
1 2 1
direct
0.250 0.250 0.250 W
0.000 0.000 0.000 Cd
0.750 0.750 0.750 Cd
0.500 0.500 0.500 B


# 8
GGA-PBE Nd2BiIO4, relaxed; symmetry = No. 123; E_tot = -0.4896 Ry per atom
1.0
4.069 0.000 0.000
0.000 4.069 0.000
0.000 0.000 9.477
O I Nd Bi
4 1 2 1
direct
0.000 0.500 0.153 O
0.000 0.500 0.847 O
0.500 0.000 0.153 O
0.500 0.000 0.847 O
0.500 0.500 0.500 I
0.000 0.000 0.743 Nd
0.000 0.000 0.257 Nd
0.500 0.500 0.000 Bi


# 9
GGA-PBE CsTlPd, relaxed; symmetry = No. 216; relative energy among the computed polymorphs = 0.00 kcal/mol of atoms; E_tot = -0.1957 Ry per atom
1.0
-4.835 -1.357 -1.805
-4.093 3.381 0.536
-2.026 2.438 -4.292
Tl Cs Pd
1 1 1
direct
0.750 0.750 0.750 Tl
0.250 0.250 0.250 Cs
0.000 0.000 0.000 Pd


# 10
GGA-PBE ReAuNO, relaxed; symmetry = No. 67; relative energy among the computed polymorphs = 14.28 kcal/mol of atoms; E_tot = -0.4936 Ry per atom
1.0
2.659 -3.251 0.000
2.659 3.251 0.000
0.000 0.000 5.646
Re N O Au
2 2 2 2
direct
0.250 0.750 0.567 Re
0.750 0.250 0.433 Re
0.750 0.250 0.755 N
0.250 0.750 0.245 N
0.250 0.250 0.500 O
0.750 0.750 0.500 O
0.250 0.250 0.000 Au
0.750 0.750 0.000 Au


# 11
GGA-PBE Pr2H2I3Br, relaxed; symmetry = No. 156; E_tot = -0.3036 Ry per atom
1.0
4.142 0.000 0.000
-2.071 3.587 0.000
0.000 0.000 15.787
H Br Pr I
2 1 2 3
direct
0.000 0.000 0.248 H
0.333 0.667 0.754 H
0.000 0.000 0.878 Br
0.667 0.333 0.248 Pr
0.667 0.333 0.757 Pr
0.333 0.667 0.110 I
0.000 0.000 0.619 I
0.333 0.667 0.386 I


# 12
GGA-PBE Na2MgCoH6, relaxed; symmetry = No. 225; E_tot = -0.2437 Ry per atom
1.0
0.000 3.557 3.557
3.557 0.000 3.557
3.557 3.557 0.000
H Co Na Mg
6 1 2 1
direct
0.225 0.225 0.775 H
0.775 0.225 0.225 H
0.225 0.775 0.225 H
0.225 0.775 0.775 H
0.775 0.225 0.775 H
0.775 0.775 0.225 H
0.000 0.000 0.000 Co
0.750 0.750 0.750 Na
0.250 0.250 0.250 Na
0.500 0.500 0.500 Mg


The highest E_tot belongs to which entry? CsTlPd